Material: SmHoPtPb
Method: DFT, PBE-GGA
State: relaxed

abc: 5.230 5.230 5.230
angles: 60.00 60.00 60.00
Element x y z (fractional)
Sm1 0.000 0.000 0.000
Ho1 0.500 0.500 0.500
Pt1 0.250 0.250 0.250
Pb1 0.750 0.750 0.750

Calculated formation energy, kJ/mol of formula units: -276
DOS(E_F), states/eV/cell: 1.6
Total magnetic moment, μB/f.u.: 0.000